GdDySO2 | PBE-GGA | optimized geometry

POSCAR file:
```
GdDySO2
1.0
3.813 0.000 0.000
-1.907 3.302 0.000
0.000 0.000 6.607
Gd Dy S O
1 1 1 2
Cartesian
0.000 0.000 0.000 Gd
0.000 2.202 3.723 Dy
1.907 1.101 1.870 S
0.000 0.000 4.291 O
0.000 2.202 6.002 O
```

Summary:
V ... 83 Å³/cell
Symmetry ... P3m1, No. 156
E_tot ... -7.8557 eV per atom